This record from the Alexandria database describes an optimized crystal structure of CsAlCoF6. The functional is PBE with a Hubbard U.

Results
**DFT total energy**: -5.311 eV/atom

a = 7.3511 Å, b = 7.1724 Å, c = 7.2820 Å
α = 119.50°, β = 120.31°, γ = 90.00°
Closest atoms and distances in Å follow each position.
Fractional positions:
F 0.2038 0.9194 0.7587  1 Al 1.82
Al 0.5000 0.5000 0.0000  6 F 1.82-1.85
Co 0.0000 0.0000 0.5000  6 F 2.02-2.09
Cs 0.8712 0.6212 0.7423  6 F 3.07-3.36
Cs 0.1288 0.3788 0.2577  6 F 3.07-3.36
F 0.1684 0.9184 0.3368  2 Co 2.02
F 0.8316 0.0816 0.6632  2 Co 2.02
F 0.5550 0.9194 0.7587  1 Al 1.82
Co 0.5000 0.0000 0.5000  6 F 2.02-2.09
F 0.2038 0.3394 0.7587  1 Al 1.82
F 0.7962 0.0806 0.2413  1 Al 1.82
F 0.4542 0.7042 0.9084  2 Al 1.85
F 0.5550 0.3394 0.7587  1 Al 1.82
F 0.7962 0.6606 0.2413  1 Al 1.82
Al 0.5000 0.0000 0.0000  6 F 1.82-1.85
F 0.4450 0.6606 0.2413  1 Al 1.82
F 0.4450 0.0806 0.2413  1 Al 1.82
F 0.5458 0.2958 0.0916  2 Al 1.85